No. 1
Entry from the Alexandria database: a geometry-optimized Ca2LaAg2 structure (PBE-GGA).

The space group is P2_1/m (No. 11) and the conventional cell measures 5.922, 4.893 and 11.057 Å, with angles of 90.00, 98.30 and 90.00 degrees. The distinct sites, in fractional coordinates, are Ca at (0.109, 0.250, 0.378), Ca at (0.241, 0.250, 0.040), La at (0.408, 0.250, 0.714), Ag at (0.237, 0.750, 0.862) and Ag at (0.370, 0.750, 0.527).

For the energy above the most stable polymorph in this dataset, the calculation gives 47.5 meV per atom.


No. 2
Entry from the Alexandria database: a geometry-optimized Ca2LaAg structure (PBE-GGA).

The space group is Pmmm (No. 47) and the conventional cell measures 4.422, 5.225 and 5.571 Å, with angles of 90.00, 90.00 and 90.00 degrees. The distinct sites, in fractional coordinates, are Ca at (0.000, 0.000, 0.000), Ca at (0.500, 0.500, 0.000), La at (0.000, 0.500, 0.500) and Ag at (0.500, 0.000, 0.500).

For the energy above the most stable polymorph in this dataset, the calculation gives 119.0 meV per atom.


No. 3
Entry from the Alexandria database: a geometry-optimized Ca2LaAg2 structure (PBE-GGA).

The space group is I4/mmm (No. 139) and the conventional cell measures 5.467, 5.467 and 10.618 Å, with angles of 90.00, 90.00 and 90.00 degrees. The distinct sites, in fractional coordinates, are Ca at (0.000, 0.000, 0.154), La at (0.000, 0.000, 0.500) and Ag at (0.000, 0.500, 0.250).

For the energy above the most stable polymorph in this dataset, the calculation gives 272.4 meV per atom.


Number 1: magnetic moment 0.000 μB/cell, electronic total energy -31.05 eV/cell, ΔE_f -0.178 eV/atom. Number 2: magnetic moment 0.000 μB/cell, electronic total energy -11.75 eV/cell, ΔE_f 0.008 eV/atom. Number 3: magnetic moment 0.000 μB/cell, electronic total energy -28.80 eV/cell, ΔE_f 0.047 eV/atom.